A relaxed structure of Li2NbBAs. Source: Alexandria, functional PBE.

It has space group P4/mmm (No. 123), with a = 4.018 Å, b = 4.018 Å, c = 4.406 Å, α = 90.00°, β = 90.00° and γ = 90.00°. The asymmetric unit holds Li at (0.000, 0.500, 0.000), Nb at (0.000, 0.000, 0.500), B at (0.000, 0.000, 0.000) and As at (0.500, 0.500, 0.500).

As for the energy of formation from the pure elements: 0.06 eV per atom.